Arrangement w

{
  "formula": "InSNF2",
  "functional": "PBE",
  "state": "optimized geometry",
  "sg": "P4/mmm, No. 123",
  "cell": [[-2.582, 3.648, 1.735], [-1.296, -2.699, 3.744], [2.655, 1.073, 1.693]],
  "species": ["N", "S", "F", "F", "In"],
  "fractional_positions": [[0.000, 0.000, 0.500], [0.000, 0.000, 0.000], [0.000, 0.500, 0.000], [0.500, 0.000, 0.000], [0.500, 0.500, 0.500]]
}

---

Arrangement x

{
  "formula": "InSNF2",
  "functional": "PBE",
  "state": "optimized geometry",
  "sg": "P4/mmm, No. 123",
  "cell": [[4.166, 0.000, 0.000], [0.000, 4.166, 0.000], [0.000, 0.000, 4.526]],
  "species": ["N", "S", "F", "F", "In"],
  "fractional_positions": [[0.000, 0.000, 0.500], [0.500, 0.500, 0.500], [0.000, 0.500, 0.000], [0.500, 0.000, 0.000], [0.000, 0.000, 0.000]]
}

---

Stability order, top to bottom: arrangement w, arrangement x

---

Arrangement w

{
  "formula": "InSbNF2",
  "functional": "PBE",
  "state": "optimized geometry",
  "sg": "P4/mmm, No. 123",
  "cell": [[4.659, 0.000, 0.000], [0.000, 4.659, 0.000], [0.000, 0.000, 4.053]],
  "species": ["Sb", "N", "F", "F", "In"],
  "fractional_positions": [[0.000, 0.000, 0.000], [0.000, 0.000, 0.500], [0.000, 0.500, 0.000], [0.500, 0.000, 0.000], [0.500, 0.500, 0.500]]
}

---

Arrangement x

{
  "formula": "InSbNF2",
  "functional": "PBE",
  "state": "optimized geometry",
  "sg": "P4/mmm, No. 123",
  "cell": [[4.289, 0.000, 0.000], [0.000, 4.289, 0.000], [0.000, 0.000, 4.279]],
  "species": ["Sb", "N", "F", "F", "In"],
  "fractional_positions": [[0.500, 0.500, 0.500], [0.000, 0.000, 0.500], [0.000, 0.500, 0.000], [0.500, 0.000, 0.000], [0.000, 0.000, 0.000]]
}

---

Stability order, top to bottom: arrangement w, arrangement x

---

Arrangement w

{
  "formula": "InSeNF2",
  "functional": "PBE",
  "state": "optimized geometry",
  "sg": "P4/mmm, No. 123",
  "cell": [[-4.344, -1.129, 1.551], [1.842, -3.528, 2.591], [0.415, 2.300, 2.836]],
  "species": ["N", "F", "F", "Se", "In"],
  "fractional_positions": [[0.000, 0.000, 0.500], [0.000, 0.500, 0.000], [0.500, 0.000, 0.000], [0.000, 0.000, 0.000], [0.500, 0.500, 0.500]]
}

---

Arrangement x

{
  "formula": "InSeNF2",
  "functional": "PBE",
  "state": "optimized geometry",
  "sg": "P4/mmm, No. 123",
  "cell": [[-3.269, 0.928, 2.389], [-2.540, -1.690, -2.820], [0.372, -4.001, 2.063]],
  "species": ["N", "F", "F", "Se", "In"],
  "fractional_positions": [[0.000, 0.000, 0.500], [0.000, 0.500, 0.000], [0.500, 0.000, 0.000], [0.500, 0.500, 0.500], [0.000, 0.000, 0.000]]
}

---

Stability order, top to bottom: arrangement w, arrangement x

---

Arrangement w

{
  "formula": "InSnNF2",
  "functional": "PBE",
  "state": "optimized geometry",
  "sg": "P4/mmm, No. 123",
  "cell": [[4.338, 0.000, 0.000], [0.000, 4.225, 0.000], [0.000, 0.000, 4.338]],
  "species": ["N", "F", "F", "Sn", "In"],
  "fractional_positions": [[0.000, 0.500, 0.000], [0.000, 0.000, 0.500], [0.500, 0.000, 0.000], [0.500, 0.500, 0.500], [0.000, 0.000, 0.000]]
}

---

Arrangement x

{
  "formula": "InSnNF2",
  "functional": "PBE",
  "state": "optimized geometry",
  "sg": "P4/mmm, No. 123",
  "cell": [[4.546, 0.000, 0.000], [0.000, 4.546, 0.000], [0.000, 0.000, 3.920]],
  "species": ["N", "F", "F", "Sn", "In"],
  "fractional_positions": [[0.000, 0.000, 0.500], [0.000, 0.500, 0.000], [0.500, 0.000, 0.000], [0.000, 0.000, 0.000], [0.500, 0.500, 0.500]]
}

---

Stability order, top to bottom: arrangement x, arrangement w

---

Arrangement w

{
  "formula": "InTeNF2",
  "functional": "PBE",
  "state": "optimized geometry",
  "sg": "P4/mmm, No. 123",
  "cell": [[-3.375, 2.363, -2.403], [-3.153, -3.414, 1.072], [-1.021, 2.015, 3.415]],
  "species": ["N", "F", "F", "Te", "In"],
  "fractional_positions": [[0.000, 0.000, 0.500], [0.000, 0.500, 0.000], [0.500, 0.000, 0.000], [0.000, 0.000, 0.000], [0.500, 0.500, 0.500]]
}

---

Arrangement x

{
  "formula": "InTeNF2",
  "functional": "PBE",
  "state": "optimized geometry",
  "sg": "P4/mmm, No. 123",
  "cell": [[-2.591, -2.650, 2.003], [-0.395, -2.276, -3.522], [3.535, -2.523, 1.235]],
  "species": ["N", "F", "F", "Te", "In"],
  "fractional_positions": [[0.000, 0.000, 0.500], [0.000, 0.500, 0.000], [0.500, 0.000, 0.000], [0.500, 0.500, 0.500], [0.000, 0.000, 0.000]]
}

---

Stability order, top to bottom: arrangement w, arrangement x

---

Arrangement w

{
  "formula": "InTeN2F",
  "functional": "PBE",
  "state": "optimized geometry",
  "sg": "P4/mmm, No. 123",
  "cell": [[-2.144, 3.550, 0.293], [-1.237, -0.421, -3.947], [-5.123, -3.255, 1.953]],
  "species": ["N", "N", "F", "Te", "In"],
  "fractional_positions": [[0.000, 0.500, 0.000], [0.500, 0.000, 0.000], [0.500, 0.500, 0.500], [0.000, 0.000, 0.500], [0.000, 0.000, 0.000]]
}

---

Arrangement x

{
  "formula": "InTeN2F",
  "functional": "PBE",
  "state": "optimized geometry",
  "sg": "P4/mmm, No. 123",
  "cell": [[-0.574, -0.385, 4.063], [-1.126, -3.929, -0.531], [4.370, -1.319, 0.493]],
  "species": ["N", "N", "F", "Te", "In"],
  "fractional_positions": [[0.000, 0.500, 0.000], [0.500, 0.000, 0.000], [0.000, 0.000, 0.500], [0.000, 0.000, 0.000], [0.500, 0.500, 0.500]]
}

---

Arrangement y

{
  "formula": "InTeN2F",
  "functional": "PBE",
  "state": "optimized geometry",
  "sg": "P4/mmm, No. 123",
  "cell": [[4.318, 0.000, 0.000], [0.000, 4.318, 0.000], [0.000, 0.000, 4.093]],
  "species": ["N", "N", "F", "Te", "In"],
  "fractional_positions": [[0.000, 0.500, 0.000], [0.500, 0.000, 0.000], [0.000, 0.000, 0.500], [0.500, 0.500, 0.500], [0.000, 0.000, 0.000]]
}

---

Stability order, top to bottom: arrangement x, arrangement y, arrangement w